VASP calculation (GGA-PBE) on a relaxed structure of AlInCo.

M_tot ... 0.00 Bohr magnetons per cell
Formation enthalpy at 0 K ... -25 meV per atom
Calculated total energy ... -4.554 eV per atom

POSCAR file:
```
AlInCo
1.0
-0.5729 -3.5856 2.1230
0.7843 -3.6917 -1.8568
3.3195 -2.2910 1.1932
In Co Al
1 1 1
Direct
0.0000 0.0000 0.0000
0.2500 0.2500 0.2500
0.5000 0.5000 0.5000
```

---

VASP calculation (GGA-PBE) on a relaxed structure of AlIn2Co.

M_tot ... 1.18 Bohr magnetons per cell
Formation enthalpy at 0 K ... 239 meV per atom
Calculated total energy ... -3.843 eV per atom

POSCAR file:
```
AlIn2Co
1.0
-8.0127 0.6694 -3.7182
-7.5190 -2.4629 -3.9845
-8.6755 -1.2591 -1.2754
In Co Al
2 1 1
Direct
0.0090 0.0090 0.0090
0.4910 0.4910 0.4910
0.7500 0.7500 0.7500
0.2500 0.2500 0.2500
```

---

VASP calculation (GGA-PBE) on a relaxed structure of Al2InCo.

M_tot ... 0.00 Bohr magnetons per cell
Formation enthalpy at 0 K ... -44 meV per atom
Calculated total energy ... -4.376 eV per atom

POSCAR file:
```
Al2InCo
1.0
-2.6365 -0.9355 -3.4994
-0.9048 -3.1310 -3.0741
-5.0606 -3.6188 1.9245
Al Co In
2 1 1
Direct
0.8077 0.8077 0.6459
0.9934 0.9934 0.9504
0.5342 0.5342 0.6388
0.1647 0.1647 0.2650
```

---

VASP calculation (GGA-PBE) on a relaxed structure of AlIn2Co.

M_tot ... 0.68 Bohr magnetons per cell
Formation enthalpy at 0 K ... 285 meV per atom
Calculated total energy ... -3.796 eV per atom

POSCAR file:
```
AlIn2Co
1.0
4.8297 -0.0212 0.0338
3.7111 3.0910 0.0338
0.9056 0.3255 4.8988
In Co Al
2 1 1
Direct
0.5110 0.5110 0.4836
0.9890 0.9890 0.0164
0.2500 0.2500 0.2500
0.7500 0.7500 0.7500
```

---

VASP calculation (GGA-PBE) on a relaxed structure of AlIn2Co.

M_tot ... 0.00 Bohr magnetons per cell
Formation enthalpy at 0 K ... 200 meV per atom
Calculated total energy ... -3.882 eV per atom

POSCAR file:
```
AlIn2Co
1.0
2.9964 0.0007 0.0000
0.0059 2.9964 0.0000
0.0000 0.0000 8.2506
Al Co In
1 1 2
Direct
0.5000 0.5000 0.2500
0.5000 0.5000 0.7500
0.0000 0.0000 0.5436
0.0000 0.0000 0.9564
```

---

VASP calculation (GGA-PBE) on a relaxed structure of Al2InCo.

M_tot ... 0.23 Bohr magnetons per cell
Formation enthalpy at 0 K ... -151 meV per atom
Calculated total energy ... -4.483 eV per atom

POSCAR file:
```
Al2InCo
1.0
-2.0641 0.7412 -1.8638
0.7177 -2.2228 -1.6789
-5.2106 -4.6454 3.9230
Al In Co
2 1 1
Direct
0.0000 0.0000 0.0709
0.0000 0.0000 0.4291
0.5000 0.5000 0.7500
0.5000 0.5000 0.2500
```

---

VASP calculation (GGA-PBE) on a relaxed structure of AlInCo2.

M_tot ... 1.75 Bohr magnetons per cell
Formation enthalpy at 0 K ... 46 meV per atom
Calculated total energy ... -5.127 eV per atom

POSCAR file:
```
AlInCo2
1.0
4.8912 -0.0109 0.0000
2.1355 4.4004 0.0000
-3.5133 -2.1947 2.6006
Co In Al
2 1 1
Direct
0.0000 0.0000 0.0000
0.2500 0.7500 0.5000
0.5000 0.5000 0.0000
0.7500 0.2500 0.5000
```

---

VASP calculation (GGA-PBE) on a relaxed structure of Al2In2Co.

M_tot ... 1.47 Bohr magnetons per cell
Formation enthalpy at 0 K ... 223 meV per atom
Calculated total energy ... -3.790 eV per atom

POSCAR file:
```
Al2In2Co
1.0
6.4407 0.0000 0.0000
0.0000 6.4407 0.0000
0.0000 0.0000 4.6064
Al In Co
4 4 2
Direct
0.6526 0.1526 0.0000
0.1526 0.3474 0.0000
0.3474 0.8474 0.0000
0.8474 0.6526 0.0000
0.1717 0.6717 0.5000
0.3283 0.1717 0.5000
0.8283 0.3283 0.5000
0.6717 0.8283 0.5000
0.0000 0.0000 0.0000
0.5000 0.5000 0.0000
```

---

VASP calculation (GGA-PBE) on a relaxed structure of AlIn2Co.

M_tot ... 0.95 Bohr magnetons per cell
Formation enthalpy at 0 K ... 257 meV per atom
Calculated total energy ... -3.825 eV per atom

POSCAR file:
```
AlIn2Co
1.0
-2.8757 -3.9170 1.7088
0.8271 -0.8721 5.0088
-1.1084 4.2553 -2.6826
Al In Co
1 2 1
Direct
0.5000 0.5000 0.0000
0.2500 0.7500 0.5000
0.0000 0.0000 0.0000
0.7500 0.2500 0.5000
```

---

VASP calculation (GGA-PBE) on a relaxed structure of Al2InCo.

M_tot ... 0.00 Bohr magnetons per cell
Formation enthalpy at 0 K ... 7 meV per atom
Calculated total energy ... -4.326 eV per atom

POSCAR file:
```
Al2InCo
1.0
-1.0649 -2.5695 -1.6737
2.9504 -1.3415 0.1822
-1.5755 -2.7547 5.2315
Al In Co
2 1 1
Direct
0.0000 0.0000 0.0377
0.5000 0.5000 0.2873
0.5000 0.5000 0.7361
0.0000 0.0000 0.4389
```

---

VASP calculation (GGA-PBE) on a relaxed structure of Al2InCo2.

Energy above the lowest structure with this stoichiometry ... 358.8 meV per atom
M_tot ... 0.00 Bohr magnetons per cell
Formation enthalpy at 0 K ... 127 meV per atom
Calculated total energy ... -4.760 eV per atom

POSCAR file:
```
Al2InCo2
1.0
-3.3889 0.5685 -2.0257
-1.8904 -2.5087 2.4585
-3.7915 2.8320 3.2105
Co In Al
2 1 2
Direct
0.7500 0.2500 0.5000
0.2500 0.7500 0.5000
0.0000 0.0000 0.0000
0.6291 0.6291 0.7419
0.3709 0.3709 0.2581
```

---

VASP calculation (GGA-PBE) on a relaxed structure of Al2InCo.

M_tot ... 0.63 Bohr magnetons per cell
Formation enthalpy at 0 K ... 167 meV per atom
Calculated total energy ... -4.165 eV per atom

POSCAR file:
```
Al2InCo
1.0
-1.3915 3.2620 -3.0582
-2.4292 -3.9574 -0.6066
-2.1761 1.0176 2.0756
In Co Al
1 1 2
Direct
0.0000 0.5000 0.5000
0.5000 0.0000 0.5000
0.5000 0.5000 0.0000
0.0000 0.0000 0.0000
```